1.
This record from Alexandria describes an optimized crystal structure of ErThHg2. The functional is GGA-PBE.

Values from the calculation:
crystal system	cubic
DOS(E_F)	4.0	states/eV per cell
formation energy from the elements	-0.311	eV/atom
energy above the most stable polymorph in this dataset	33	meV per atom
VASP energy	-3.4571	eV per atom
volume	26.88	Å³/atom
space-group type	Fm-3m

Unit cell a=5.337 b=5.337 c=5.337 alpha=60.00 beta=60.00 gamma=60.00
Atoms (fractional coordinates):
Er1 0.000 0.000 0.000
Th1 0.500 0.500 0.500
Hg1 0.250 0.250 0.250
Hg2 0.750 0.750 0.750

2.
This record from Alexandria describes an optimized crystal structure of Mn2NiCl6. The functional is GGA-PBE.

Values from the calculation:
crystal system	trigonal
energy relative to the elements, uncorrected	-7.61	eV per formula unit
DOS(E_F)	0.3	states/eV per cell
VASP energy	-4.7568	eV per atom
volume	22.60	Å³/atom
space-group type	R-3

Unit cell a=6.868 b=6.868 c=6.868 alpha=55.19 beta=55.19 gamma=55.19
Atoms (fractional coordinates):
Mn1 0.185 0.185 0.185
Mn2 0.815 0.815 0.815
Ni1 0.000 0.000 0.000
Cl1 0.086 0.386 0.779
Cl2 0.221 0.914 0.614
Cl3 0.386 0.779 0.086
Cl4 0.614 0.221 0.914
Cl5 0.779 0.086 0.386
Cl6 0.914 0.614 0.221

3.
This record from Alexandria describes an optimized crystal structure of TiGa2Ni2. The functional is GGA-PBE.

Values from the calculation:
crystal system	orthorhombic
DOS(E_F)	5.0	states/eV per cell
formation energy from the elements	-0.436	eV/atom
energy above the most stable polymorph in this dataset	0	meV per atom
VASP energy	-5.5378	eV per atom
volume	14.46	Å³/atom
space-group type	Pmmn

Unit cell a=4.072 b=4.110 c=8.639 alpha=90.00 beta=90.00 gamma=90.00
Atoms (fractional coordinates):
Ti1 0.250 0.250 0.178
Ti2 0.750 0.750 0.822
Ga1 0.250 0.250 0.504
Ga2 0.250 0.250 0.829
Ga3 0.750 0.750 0.171
Ga4 0.750 0.750 0.496
Ni1 0.250 0.750 0.331
Ni2 0.250 0.750 0.999
Ni3 0.750 0.250 0.001
Ni4 0.750 0.250 0.669

4.
This record from Alexandria describes an optimized crystal structure of Ca2Ac6LaPr3. The functional is GGA-PBE.

Values from the calculation:
crystal system	monoclinic
DOS(E_F)	15.8	states/eV per cell
formation energy from the elements	0.026	eV/atom
VASP energy	-3.9673	eV per atom
volume	41.38	Å³/atom
space-group type	C2/m

Unit cell a=6.763 b=6.763 c=12.744 alpha=95.06 beta=95.06 gamma=120.04
Atoms (fractional coordinates):
Ca1 0.167 0.833 0.000
Ca2 0.833 0.167 0.000
Ac1 0.086 0.416 0.745
Ac2 0.255 0.255 0.254
Ac3 0.416 0.086 0.745
Ac4 0.584 0.914 0.255
Ac5 0.745 0.745 0.746
Ac6 0.914 0.584 0.255
La1 0.500 0.500 0.000
Pr1 0.000 0.000 0.500
Pr2 0.334 0.666 0.500
Pr3 0.666 0.334 0.500

5.
This record from Alexandria describes an optimized crystal structure of TcHgW2. The functional is GGA-PBE.

Values from the calculation:
crystal system	tetragonal
DOS(E_F)	2.6	states/eV per cell
formation energy from the elements	0.585	eV/atom
VASP energy	-8.5588	eV per atom
volume	16.45	Å³/atom
space-group type	I4/mmm

Unit cell a=5.023 b=5.023 c=5.023 alpha=133.37 beta=133.37 gamma=68.07
Atoms (fractional coordinates):
Tc1 0.000 0.000 0.000
Hg1 0.500 0.500 0.000
W1 0.250 0.750 0.500
W2 0.750 0.250 0.500

6.
This record from Alexandria describes an optimized crystal structure of YC3. The functional is GGA-PBE.

Values from the calculation:
crystal system	orthorhombic
DOS(E_F)	1.9	states/eV per cell
formation energy from the elements	0.529	eV/atom
energy above the most stable polymorph in this dataset	267	meV per atom
VASP energy	-8.0049	eV per atom
volume	12.39	Å³/atom
space-group type	Pmmn

Unit cell a=4.608 b=5.114 c=4.206 alpha=90.00 beta=90.00 gamma=90.00
Atoms (fractional coordinates):
Y1 0.250 0.250 0.189
Y2 0.750 0.750 0.811
C1 0.093 0.750 0.273
C2 0.250 0.750 0.573
C3 0.407 0.750 0.273
C4 0.593 0.250 0.727
C5 0.750 0.250 0.427
C6 0.907 0.250 0.727

7.
This record from Alexandria describes an optimized crystal structure of NdPuCBr. The functional is GGA-PBE.

Values from the calculation:
crystal system	trigonal
energy relative to the elements, uncorrected	-2.79	eV per formula unit
DOS(E_F)	7.1	states/eV per cell
VASP energy	-8.1957	eV per atom
volume	22.33	Å³/atom
space-group type	R3m

Unit cell a=7.824 b=7.824 c=7.824 alpha=27.37 beta=27.37 gamma=27.37
Atoms (fractional coordinates):
Nd1 0.000 0.000 0.000
Pu1 0.211 0.211 0.211
C1 0.601 0.601 0.601
Br1 0.772 0.772 0.772

8.
This record from Alexandria describes an optimized crystal structure of Ca4CdN. The functional is GGA-PBE.

Values from the calculation:
crystal system	orthorhombic
energy relative to the elements, uncorrected	-2.85	eV per formula unit
DOS(E_F)	9.7	states/eV per cell
energy above the most stable polymorph in this dataset	0	meV per atom
VASP energy	-3.3488	eV per atom
volume	27.65	Å³/atom
space-group type	Cmcm

Unit cell a=9.665 b=9.665 c=7.129 alpha=90.00 beta=90.00 gamma=150.13
Atoms (fractional coordinates):
Ca1 0.000 0.000 0.000
Ca2 0.000 0.000 0.500
Ca3 0.179 0.821 0.511
Ca4 0.179 0.821 0.989
Ca5 0.413 0.587 0.250
Ca6 0.587 0.413 0.750
Ca7 0.821 0.179 0.011
Ca8 0.821 0.179 0.489
Cd1 0.389 0.611 0.750
Cd2 0.611 0.389 0.250
N1 0.093 0.907 0.750
N2 0.907 0.093 0.250

9.
This record from Alexandria describes an optimized crystal structure of TbHo2Zn6. The functional is GGA-PBE.

Values from the calculation:
crystal system	hexagonal
DOS(E_F)	6.0	states/eV per cell
formation energy from the elements	-0.382	eV/atom
VASP energy	-2.7629	eV per atom
volume	20.15	Å³/atom
space-group type	P6/mmm

Unit cell a=7.744 b=7.744 c=3.491 alpha=90.00 beta=90.00 gamma=120.00
Atoms (fractional coordinates):
Tb1 0.000 0.000 0.000
Ho1 0.333 0.667 0.000
Ho2 0.667 0.333 0.000
Zn1 0.000 0.334 0.500
Zn2 0.000 0.666 0.500
Zn3 0.334 0.000 0.500
Zn4 0.334 0.334 0.500
Zn5 0.666 0.000 0.500
Zn6 0.666 0.666 0.500

10.
This record from Alexandria describes an optimized crystal structure of Zr2BeRuPb. The functional is GGA-PBE.

Values from the calculation:
crystal system	tetragonal
DOS(E_F)	4.8	states/eV per cell
formation energy from the elements	1.739	eV/atom
VASP energy	-5.0224	eV per atom
volume	27.87	Å³/atom
space-group type	P4/mmm

Unit cell a=5.328 b=5.328 c=4.910 alpha=90.00 beta=90.00 gamma=90.00
Atoms (fractional coordinates):
Zr1 0.000 0.500 0.000
Zr2 0.500 0.000 0.000
Be1 0.000 0.000 0.500
Ru1 0.500 0.500 0.500
Pb1 0.500 0.500 0.000

11.
This record from Alexandria describes an optimized crystal structure of HoPb2. The functional is GGA-PBE.

Values from the calculation:
crystal system	cubic
DOS(E_F)	5.7	states/eV per cell
formation energy from the elements	-0.019	eV/atom
VASP energy	-4.0175	eV per atom
volume	31.12	Å³/atom
space-group type	Fd-3m

Unit cell a=6.415 b=6.415 c=6.415 alpha=60.00 beta=60.00 gamma=60.00
Atoms (fractional coordinates):
Ho1 0.125 0.125 0.125
Ho2 0.875 0.875 0.875
Pb1 0.000 0.500 0.500
Pb2 0.500 0.000 0.500
Pb3 0.500 0.500 0.000
Pb4 0.500 0.500 0.500

12.
This record from Alexandria describes an optimized crystal structure of Ac2InN2. The functional is GGA-PBE.

Values from the calculation:
crystal system	tetragonal
energy relative to the elements, uncorrected	-2.18	eV per formula unit
DOS(E_F)	4.4	states/eV per cell
VASP energy	-5.9566	eV per atom
volume	27.78	Å³/atom
space-group type	I4/mmm

Unit cell a=6.203 b=6.203 c=6.203 alpha=129.39 beta=129.39 gamma=74.38
Atoms (fractional coordinates):
Ac1 0.250 0.750 0.500
Ac2 0.750 0.250 0.500
In1 0.000 0.000 0.000
N1 0.221 0.221 0.000
N2 0.779 0.779 0.000

13.
This record from Alexandria describes an optimized crystal structure of YMgTlSn. The functional is GGA-PBE.

Values from the calculation:
crystal system	orthorhombic
DOS(E_F)	1.5	states/eV per cell
formation energy from the elements	-0.404	eV/atom
energy above the most stable polymorph in this dataset	0	meV per atom
VASP energy	-4.0108	eV per atom
volume	25.25	Å³/atom
space-group type	Pmmm

Unit cell a=4.402 b=4.676 c=4.908 alpha=90.00 beta=90.00 gamma=90.00
Atoms (fractional coordinates):
Y1 0.000 0.000 0.000
Mg1 0.000 0.500 0.500
Tl1 0.500 0.000 0.500
Sn1 0.500 0.500 0.000

14.
This record from Alexandria describes an optimized crystal structure of La2MnRe2. The functional is GGA-PBE.

Values from the calculation:
crystal system	tetragonal
DOS(E_F)	12.5	states/eV per cell
formation energy from the elements	0.400	eV/atom
VASP energy	-8.3838	eV per atom
volume	21.19	Å³/atom
space-group type	P4/mbm

Unit cell a=6.415 b=6.415 c=5.149 alpha=90.00 beta=90.00 gamma=90.00
Atoms (fractional coordinates):
La1 0.179 0.321 0.000
La2 0.321 0.821 0.000
La3 0.679 0.179 0.000
La4 0.821 0.679 0.000
Mn1 0.000 0.000 0.500
Mn2 0.500 0.500 0.500
Re1 0.137 0.637 0.500
Re2 0.363 0.137 0.500
Re3 0.637 0.863 0.500
Re4 0.863 0.363 0.500

15.
This record from Alexandria describes an optimized crystal structure of CrFePt2. The functional is GGA-PBE.

Values from the calculation:
crystal system	orthorhombic
DOS(E_F)	4.4	states/eV per cell
formation energy from the elements	-0.157	eV/atom
VASP energy	-7.6993	eV per atom
volume	13.94	Å³/atom
space-group type	Cmmm

Unit cell a=4.675 b=4.675 c=2.699 alpha=90.00 beta=90.00 gamma=109.05
Atoms (fractional coordinates):
Cr1 0.000 0.000 0.000
Fe1 0.500 0.500 0.000
Pt1 0.000 0.500 0.500
Pt2 0.500 0.000 0.500

16.
This record from Alexandria describes an optimized crystal structure of Th3Si2Ag4. The functional is GGA-PBE.

Values from the calculation:
crystal system	monoclinic
energy relative to the elements, uncorrected	-2.76	eV per formula unit
DOS(E_F)	7.6	states/eV per cell
VASP energy	-5.2526	eV per atom
volume	23.10	Å³/atom
space-group type	C2/m

Unit cell a=6.024 b=6.024 c=9.086 alpha=109.65 beta=109.65 gamma=42.53
Atoms (fractional coordinates):
Th1 0.000 0.000 0.000
Th2 0.322 0.322 0.368
Th3 0.678 0.678 0.632
Si1 0.393 0.393 0.728
Si2 0.607 0.607 0.272
Ag1 0.020 0.020 0.354
Ag2 0.254 0.254 0.908
Ag3 0.746 0.746 0.092
Ag4 0.980 0.980 0.646

17.
This record from Alexandria describes an optimized crystal structure of Mg2AlZn. The functional is GGA-PBE.

Values from the calculation:
crystal system	tetragonal
DOS(E_F)	1.3	states/eV per cell
formation energy from the elements	-0.020	eV/atom
VASP energy	-2.0714	eV per atom
volume	18.74	Å³/atom
space-group type	I4/mmm

Unit cell a=5.150 b=5.150 c=5.150 alpha=131.54 beta=131.54 gamma=70.96
Atoms (fractional coordinates):
Mg1 0.250 0.750 0.500
Mg2 0.750 0.250 0.500
Al1 0.000 0.000 0.000
Zn1 0.500 0.500 0.000

18.
This record from Alexandria describes an optimized crystal structure of KPaAuO6. The functional is GGA-PBE.

Values from the calculation:
crystal system	trigonal
energy relative to the elements, uncorrected	-11.99	eV per formula unit
DOS(E_F)	6.1	states/eV per cell
VASP energy	-6.1792	eV per atom
volume	14.79	Å³/atom
space-group type	P312

Unit cell a=5.625 b=5.625 c=4.857 alpha=90.00 beta=90.00 gamma=120.00
Atoms (fractional coordinates):
K1 0.000 0.000 0.000
Pa1 0.667 0.333 0.500
Au1 0.333 0.667 0.000
O1 0.013 0.402 0.248
O2 0.013 0.611 0.752
O3 0.389 0.402 0.752
O4 0.389 0.987 0.248
O5 0.598 0.611 0.248
O6 0.598 0.987 0.752

19.
This record from Alexandria describes an optimized crystal structure of Pr3N2Cl3. The functional is GGA-PBE.

Values from the calculation:
crystal system	orthorhombic
energy relative to the elements, uncorrected	-14.24	eV per formula unit
VASP energy	-6.3463	eV per atom
volume	23.13	Å³/atom
space-group type	Cmcm

Unit cell a=7.165 b=7.165 c=13.546 alpha=90.00 beta=90.00 gamma=147.85
Atoms (fractional coordinates):
Pr1 0.151 0.849 0.537
Pr2 0.151 0.849 0.963
Pr3 0.202 0.798 0.250
Pr4 0.798 0.202 0.750
Pr5 0.849 0.151 0.037
Pr6 0.849 0.151 0.463
N1 0.266 0.734 0.088
N2 0.266 0.734 0.412
N3 0.734 0.266 0.588
N4 0.734 0.266 0.912
Cl1 0.147 0.853 0.750
Cl2 0.442 0.558 0.620
Cl3 0.442 0.558 0.880
Cl4 0.558 0.442 0.120
Cl5 0.558 0.442 0.380
Cl6 0.853 0.147 0.250

20.
This record from Alexandria describes an optimized crystal structure of Nd2Pd2Au. The functional is GGA-PBE.

Values from the calculation:
crystal system	tetragonal
DOS(E_F)	6.3	states/eV per cell
formation energy from the elements	-0.807	eV/atom
VASP energy	-5.4463	eV per atom
volume	23.15	Å³/atom
space-group type	P4/mbm

Unit cell a=7.737 b=7.737 c=3.868 alpha=90.00 beta=90.00 gamma=90.00
Atoms (fractional coordinates):
Nd1 0.176 0.324 0.000
Nd2 0.324 0.824 0.000
Nd3 0.676 0.176 0.000
Nd4 0.824 0.676 0.000
Pd1 0.127 0.627 0.500
Pd2 0.373 0.127 0.500
Pd3 0.627 0.873 0.500
Pd4 0.873 0.373 0.500
Au1 0.000 0.000 0.500
Au2 0.500 0.500 0.500